Record 1
Below is a geometry-optimized La3NdTm2As6 structure, with properties calculated at the GGA-PBE level.

M_tot ... 0.00 μB per cell
Total DFT energy (no corrections) ... -74.67 eV for the cell shown
Energy of formation from the pure elements ... -147 kJ per mole of atoms

extended XYZ file:
```
12
Lattice="7.376 -0.001 0.000 -3.687 6.389 0.000 -1.231 -2.131 6.944" Properties=species:S:1:pos:R:3 pbc="T T T"
As -1.255 2.174 1.652
As 0.025 0.044 5.302
As 2.510 0.000 1.652
As 2.433 4.213 1.642
As -0.051 4.258 5.293
As 3.713 2.084 5.293
Tm -0.005 4.262 0.000
Tm 3.694 2.126 0.000
La -2.474 4.267 3.472
La 1.229 2.129 3.472
La 4.933 -0.010 3.472
Nd 0.000 0.000 0.000
```

Record 2
Below is a geometry-optimized Nd5PuSb6 structure, with properties calculated at the GGA-PBE level.

M_tot ... 5.02 μB per cell
Total DFT energy (no corrections) ... -75.91 eV for the cell shown

extended XYZ file:
```
12
Lattice="7.809 0.213 0.000 2.403 7.434 0.000 1.202 3.717 6.764" Properties=species:S:1:pos:R:3 pbc="T T T"
Sb 3.740 5.654 2.223
Sb 6.472 1.994 2.223
Sb 7.673 5.711 4.541
Sb 7.685 5.768 0.000
Sb 4.942 9.372 4.541
Sb 2.527 1.880 0.000
Nd 5.106 3.824 4.487
Nd 6.307 7.541 2.277
Nd 2.403 7.434 4.517
Nd 1.202 3.717 2.247
Nd 5.106 3.824 0.000
Pu 0.000 0.000 0.000
```

Record 3
Below is a geometry-optimized PmNd4Dy4 structure, with properties calculated at the GGA-PBE level.

E above lowest polymorph ... 0.755 eV per formula unit
M_tot ... 0.00 μB per cell
Total DFT energy (no corrections) ... -41.31 eV for the cell shown
Energy of formation from the pure elements ... 10 kJ per mole of atoms

extended XYZ file:
```
9
Lattice="5.525 -0.007 1.308 2.031 7.912 3.765 0.919 3.066 8.438" Properties=species:S:1:pos:R:3 pbc="T T T"
Nd 6.352 8.898 10.157
Nd 2.184 5.595 3.118
Nd 2.124 2.073 3.354
Nd 6.292 5.376 10.394
Dy 1.450 3.754 6.213
Dy 4.622 4.343 5.139
Dy 3.853 6.628 8.373
Dy 7.026 7.217 7.298
Pm 2.763 -0.004 0.654
```

Record 4
Below is a geometry-optimized HoSeN structure, with properties calculated at the GGA-PBE level.

E above lowest polymorph ... 0.000 eV per formula unit
M_tot ... 0.00 μB per cell
Total DFT energy (no corrections) ... -79.61 eV for the cell shown

extended XYZ file:
```
12
Lattice="4.000 0.000 0.000 0.000 8.134 0.647 0.000 1.353 8.366" Properties=species:S:1:pos:R:3 pbc="T T T"
N 1.714 1.393 7.865
N 3.713 4.027 0.825
N 2.286 8.094 1.148
N 0.286 5.461 8.188
Se 1.002 5.885 3.091
Se 2.997 3.603 5.922
Se 0.998 1.818 2.768
Se 3.002 7.670 6.245
Ho 2.977 7.909 3.369
Ho 3.022 3.842 3.045
Ho 1.022 1.579 5.644
Ho 0.978 5.646 5.968
```

Record 5
Below is a geometry-optimized RbNaRe2O8 structure, with properties calculated at the GGA-PBE level.

M_tot ... 0.00 μB per cell
Total DFT energy (no corrections) ... -88.67 eV for the cell shown

extended XYZ file:
```
12
Lattice="-2.295 -5.646 0.636 3.403 -4.384 2.873 -1.828 -1.744 7.433" Properties=species:S:1:pos:R:3 pbc="T T T"
O -0.219 -10.441 8.858
O -1.154 -5.266 8.120
O -1.743 -8.429 7.436
O 0.434 -6.508 2.823
O 1.023 -3.346 3.506
O -0.501 -1.334 2.084
O -1.572 -3.971 2.381
O 0.852 -7.804 8.561
Na 0.000 0.000 0.000
Rb -0.360 -5.887 5.471
Re -0.093 -3.041 2.184
Re -0.627 -8.733 8.758
```

Record 6
Below is a geometry-optimized Sc3PtAu structure, with properties calculated at the GGA-PBE level.

E above lowest polymorph ... 0.000 eV per formula unit
M_tot ... 2.25 μB per cell
Total DFT energy (no corrections) ... -64.60 eV for the cell shown
Energy of formation from the pure elements ... -77 kJ per mole of atoms

extended XYZ file:
```
10
Lattice="-3.792 2.504 -1.352 0.949 -1.008 -4.528 -6.955 -6.098 -0.099" Properties=species:S:1:pos:R:3 pbc="T T T"
Pt -4.030 -1.042 -4.326
Pt -8.226 -1.938 -2.530
Au -5.931 -3.804 -4.109
Au -2.533 -1.679 -1.395
Sc -3.046 -3.618 -3.546
Sc -8.721 -3.851 -4.683
Sc -1.160 -0.878 -3.761
Sc -5.418 -1.865 -1.958
Sc -3.535 0.871 -2.173
Sc -7.305 -4.606 -1.743
```

Record 7
Below is a geometry-optimized PrEr3Bi4 structure, with properties calculated at the GGA-PBE level.

M_tot ... 0.00 μB per cell
Total DFT energy (no corrections) ... -40.72 eV for the cell shown
Energy of formation from the pure elements ... -81 kJ per mole of atoms

extended XYZ file:
```
8
Lattice="-2.384 3.097 -2.235 -3.716 1.889 6.581 3.911 5.654 3.663" Properties=species:S:1:pos:R:3 pbc="T T T"
Bi -2.270 5.015 0.302
Bi 0.811 6.228 3.231
Bi -2.304 8.722 5.474
Bi -3.001 4.412 4.779
Er 1.527 8.751 1.429
Er -2.287 6.868 2.888
Er 0.763 4.375 0.715
Pr 0.860 8.147 5.837
```

Record 8
Below is a geometry-optimized CsHoNpS4 structure, with properties calculated at the GGA-PBE level.

M_tot ... 6.00 μB per cell
Total DFT energy (no corrections) ... -90.58 eV for the cell shown

extended XYZ file:
```
14
Lattice="8.583 0.000 0.000 -4.291 7.357 -0.566 0.000 -4.474 7.358" Properties=species:S:1:pos:R:3 pbc="T T T"
Np -2.146 1.441 3.396
Np 2.146 1.441 3.396
S 1.728 3.736 4.791
S 6.020 -0.854 2.001
S -1.728 3.736 4.791
S 4.291 2.100 1.831
S 0.000 2.527 2.091
S 2.563 -0.854 2.001
S 4.291 0.355 4.701
S 0.000 0.782 4.961
Ho 4.291 -2.237 3.679
Ho 4.291 0.000 0.000
Cs 4.291 4.950 0.490
Cs 0.000 -2.068 6.302
```

Record 9
Below is a geometry-optimized Pu2GeOs structure, with properties calculated at the GGA-PBE level.

M_tot ... 22.23 μB per cell
Total DFT energy (no corrections) ... -89.32 eV for the cell shown
Energy of formation from the pure elements ... -4 kJ per mole of atoms

extended XYZ file:
```
8
Lattice="-3.776 2.443 1.841 -0.561 -0.313 5.678 2.975 6.870 3.400" Properties=species:S:1:pos:R:3 pbc="T T T"
Os 1.614 5.383 4.202
Os -2.976 3.617 6.717
Ge -0.263 6.597 5.117
Ge -1.099 2.402 5.802
Pu -1.677 5.774 7.896
Pu -3.027 2.589 3.427
Pu 0.314 3.225 3.023
Pu 1.665 6.411 7.492
```

Record 10
Below is a geometry-optimized SrCu2TeO6 structure, with properties calculated at the GGA-PBE level.

M_tot ... 0.00 μB per cell
Total DFT energy (no corrections) ... -109.39 eV for the cell shown

extended XYZ file:
```
20
Lattice="6.998 -0.714 -0.741 1.306 6.265 -0.829 1.306 -1.061 6.230" Properties=species:S:1:pos:R:3 pbc="T T T"
O 3.727 5.134 3.543
O 6.031 1.874 0.508
O 2.384 1.496 -0.232
O 4.855 0.259 3.587
O 2.532 0.795 2.262
O 7.225 2.993 4.891
O 3.578 2.616 4.151
O 4.753 4.231 1.072
O 7.077 3.694 2.398
O 8.252 0.557 3.897
O 1.357 3.932 0.762
O 5.882 -0.644 1.116
Sr 3.055 5.335 -0.291
Sr 6.554 -0.846 4.950
Cu 7.727 2.168 3.191
Cu 5.381 1.024 2.004
Cu 4.228 3.466 2.655
Cu 1.882 2.322 1.468
Te 3.055 0.718 4.158
Te 6.554 3.771 0.502
```